Computed, not measured: a relaxed LaPr2Er crystal at the GGA-PBE level of DFT.

a b c (Å): 5.176 5.176 5.200
angles (deg): 90.00 90.00 90.00
Atoms (fractional coordinates):
La (0.000, 0.000, 0.000)
Pr (0.000, 0.500, 0.500)
Pr (0.500, 0.000, 0.500)
Er (0.500, 0.500, 0.000)

Properties
Its space group is No. 123. The value obtained for the total magnetization is 0.0 μB/f.u. For the formation energy, the calculation gives 13.3 meV per atom. The total DFT energy (no corrections) comes out at -4.749 eV/atom. As for the relative energy among the computed polymorphs: 0 meV per atom. The density is 7.01 g/cm³.